# 1
Below is a geometry-optimized Ce4GeOsBr2 structure, with properties calculated at the PBE level.

- Space group: P2/m (10)
- Density of states at the Fermi level: 2.8565 states/eV per atom
- Spin magnetization: 0.51 μB/atom

a = 7.382 Å, b = 4.163 Å, c = 7.646 Å
α = 90.00°, β = 107.69°, γ = 90.00°
Atoms (fractional coordinates):
Ce 0.222 0.000 0.206
Ce 0.241 0.500 0.789
Ce 0.759 0.500 0.211
Ce 0.778 0.000 0.794
Ge 0.500 0.000 0.000
Os 0.000 0.500 0.000
Br 0.000 0.000 0.500
Br 0.500 0.500 0.500

# 2
Below is a geometry-optimized Ce6GeOs2Br3 structure, with properties calculated at the PBE level.

- Space group: C2/m (12)
- Density of states at the Fermi level: 2.8685 states/eV per atom
- Spin magnetization: 0.46 μB/atom

a = 7.222 Å, b = 7.222 Å, c = 7.787 Å
α = 98.96°, β = 98.96°, γ = 119.92°
Atoms (fractional coordinates):
Ce 0.080 0.432 0.795
Ce 0.216 0.216 0.202
Ce 0.432 0.080 0.795
Ce 0.568 0.920 0.205
Ce 0.784 0.784 0.798
Ce 0.920 0.568 0.205
Ge 0.500 0.500 0.000
Os 0.167 0.833 0.000
Os 0.833 0.167 0.000
Br 0.000 0.000 0.500
Br 0.339 0.661 0.500
Br 0.661 0.339 0.500

# 3
Below is a geometry-optimized Ce6GeP2Br3 structure, with properties calculated at the PBE level.

- Space group: C2/m (12)
- Density of states at the Fermi level: 2.8953 states/eV per atom
- Spin magnetization: 0.44 μB/atom

a = 9.468 Å, b = 9.468 Å, c = 8.491 Å
α = 104.09°, β = 104.09°, γ = 25.54°
Atoms (fractional coordinates):
Ce 0.010 0.010 0.244
Ce 0.327 0.327 0.435
Ce 0.336 0.336 0.894
Ce 0.664 0.664 0.106
Ce 0.673 0.673 0.565
Ce 0.990 0.990 0.756
Ge 0.500 0.500 0.000
P 0.168 0.168 0.335
P 0.832 0.832 0.665
Br 0.164 0.164 0.833
Br 0.500 0.500 0.500
Br 0.836 0.836 0.167

# 4
Below is a geometry-optimized Ce4GeP2Br structure, with properties calculated at the PBE level.

- Space group: P2/m (10)
- Density of states at the Fermi level: 2.3559 states/eV per atom
- Spin magnetization: 0.35 μB/atom

a = 7.180 Å, b = 4.157 Å, c = 7.283 Å
α = 90.00°, β = 109.20°, γ = 90.00°
Atoms (fractional coordinates):
Ce 0.236 0.000 0.228
Ce 0.249 0.500 0.765
Ce 0.751 0.500 0.235
Ce 0.764 0.000 0.772
Ge 0.000 0.000 0.500
P 0.000 0.500 0.000
P 0.500 0.000 0.000
Br 0.500 0.500 0.500

| no. | VASP energy (eV/atom) | calculated density (Mg/m³) |
| --- | --- | --- |
| 1 | -6.226 | 7.29 |
| 2 | -6.462 | 7.61 |
| 3 | -5.947 | 6.35 |
| 4 | -6.388 | 6.27 |